Record 1
Computed, not measured: crystalline BaInAg2Pt at its relaxed geometry at the PBE level of DFT.

abc: 6.128 6.128 5.508
angles: 90.00 90.00 90.00
Space group P4/mmm (No. 123)
One atom of each set of equivalent atoms:
Ba: 0.000 0.000 0.000 x1
In: 0.500 0.500 0.500 x1
Ag: 0.000 0.500 0.000 x2
Pt: 0.000 0.000 0.500 x1

Summary:
- Energy relative to the elements: 0.94 eV/atom
- Crystal system: tetragonal
- Final energy: -2.3414 eV per atom


Record 2
Computed, not measured: crystalline Ba2InAgPt at its relaxed geometry at the PBE level of DFT.

abc: 6.137 6.137 5.172
angles: 90.00 90.00 90.00
Space group P4/mmm (No. 123)
One atom of each set of equivalent atoms:
Ba: 0.000 0.500 0.000 x2
In: 0.000 0.000 0.500 x1
Ag: 0.500 0.500 0.500 x1
Pt: 0.000 0.000 0.000 x1

Summary:
- Energy relative to the elements: -0.38 eV/atom
- Crystal system: tetragonal
- Final energy: -3.4802 eV per atom


Record 3
Computed, not measured: crystalline Ba2In3AgPt4 at its relaxed geometry at the PBE level of DFT.

abc: 4.780 4.780 10.844
angles: 90.00 90.00 90.00
Space group P-4m2 (No. 115)
One atom of each set of equivalent atoms:
Ba: 0.000 0.500 0.247 x2
In: 0.000 0.500 0.881 x2
In: 0.500 0.500 0.500 x1
Ag: 0.000 0.000 0.500 x1
Pt: 0.000 0.000 0.000 x1
Pt: 0.000 0.500 0.634 x2
Pt: 0.500 0.500 0.000 x1

Summary:
- Energy relative to the elements: -0.58 eV/atom
- Crystal system: tetragonal
- Final energy: -4.4859 eV per atom